Here is a geometry-optimized SbH structure from Alexandria via LeMat-Bulk. Energies are from PBE.

Summary:
Its distance to the lowest polymorph of the same formula is 0 meV per atom.

Geometry as CIF:
```
data_SbH
_symmetry_space_group_name_H-M 'P -1'
_symmetry_Int_Tables_number 2
_symmetry_space_group_name_Hall '-P 1'
_cell_length_a 4.1015
_cell_length_b 4.1022
_cell_length_c 7.9098
_cell_angle_alpha 77.77
_cell_angle_beta 77.83
_cell_angle_gamma 60.08
loop_
_atom_site_label
_atom_site_fract_x
_atom_site_fract_y
_atom_site_fract_z
Sb1 0.1958 0.1963 0.3926
H1 0.0214 0.0354 0.0343
```

---

Here is a geometry-optimized DyEr4Ir4 structure from Alexandria via LeMat-Bulk. Energies are from PBE.

Summary:
The calculation puts the energy relative to the elements at -673 meV per atom.

Geometry as CIF:
```
data_DyEr4Ir4
_symmetry_space_group_name_H-M 'P 42/n'
_symmetry_Int_Tables_number 86
_cell_length_a 8.8129
_cell_length_b 8.8129
_cell_length_c 5.6167
_cell_angle_alpha 90.00
_cell_angle_beta 90.00
_cell_angle_gamma 90.00
loop_
_symmetry_equiv_pos_as_xyz
'x,y,z'
'-x,-y,-z'
'-y,x+1/2,z+1/2'
'y,-x+1/2,-z+1/2'
'-x+1/2,-y+1/2,z'
'x+1/2,y+1/2,-z'
'y+1/2,-x,z+1/2'
'-y+1/2,x,-z+1/2'
loop_
_atom_site_label
_atom_site_fract_x
_atom_site_fract_y
_atom_site_fract_z
Dy1 0.2500 0.2500 0.2500
Er1 0.0780 0.6606 0.1386
Ir1 0.0275 0.6192 0.6398
```

---

Here is a geometry-optimized CaSi2Se structure from Alexandria via LeMat-Bulk. Energies are from PBE.

Summary:
Its formation energy (no corrections) is -620 meV/atom.

Geometry as CIF:
```
data_CaSi2Se
_symmetry_space_group_name_H-M 'P -1'
_symmetry_Int_Tables_number 2
_symmetry_space_group_name_Hall '-P 1'
_cell_length_a 4.4946
_cell_length_b 5.6684
_cell_length_c 8.0407
_cell_angle_alpha 73.28
_cell_angle_beta 76.70
_cell_angle_gamma 81.34
loop_
_atom_site_label
_atom_site_fract_x
_atom_site_fract_y
_atom_site_fract_z
Ca1 0.2468 0.1968 0.1574
Si1 0.2485 0.5439 0.4166
Si2 0.3694 0.8108 0.5730
Se1 0.1710 0.7232 0.1202
```

---

Here is a geometry-optimized LaPm2PrY5 structure from Alexandria via LeMat-Bulk. Energies are from PBE.

Summary:
The calculation puts the energy relative to the elements at 230 meV per atom.

Geometry as CIF:
```
data_LaPm2PrY5
_symmetry_space_group_name_H-M 'I 4/m c m'
_symmetry_Int_Tables_number 140
_symmetry_space_group_name_Hall '-I 4 2c'
_cell_length_a 8.7881
_cell_length_b 8.7881
_cell_length_c 15.7727
_cell_angle_alpha 90.00
_cell_angle_beta 90.00
_cell_angle_gamma 90.00
loop_
_atom_site_label
_atom_site_fract_x
_atom_site_fract_y
_atom_site_fract_z
La1 0.0000 0.0000 0.2500
Pm1 0.1173 0.3827 0.0000
Pr1 0.0000 0.5000 0.2500
Y1 0.0000 0.0000 0.0000
Y2 0.2068 0.2932 0.3653
```

---

Here is a geometry-optimized Sr2TaZn structure from Alexandria via LeMat-Bulk. Energies are from PBE.

Summary:
The calculation puts the energy relative to the elements at 546 meV per atom.

Geometry as CIF:
```
data_Sr2TaZn
_symmetry_space_group_name_H-M 'I m m 2'
_symmetry_Int_Tables_number 44
_symmetry_space_group_name_Hall 'I 2 -2'
_cell_length_a 3.4604
_cell_length_b 5.6017
_cell_length_c 11.8643
_cell_angle_alpha 90.00
_cell_angle_beta 90.00
_cell_angle_gamma 90.00
loop_
_atom_site_label
_atom_site_fract_x
_atom_site_fract_y
_atom_site_fract_z
Sr1 0.0000 0.0000 0.0000
Sr2 0.0000 0.5000 0.2050
Ta1 0.0000 0.0000 0.4192
Zn1 0.0000 0.5000 0.7497
```

---

Here is a geometry-optimized LiLaPrMn structure from Alexandria via LeMat-Bulk. Energies are from PBE.

Summary:
The calculation puts the energy relative to the elements at 176 meV per atom.

Geometry as CIF:
```
data_LiLaPrMn
_symmetry_space_group_name_H-M 'F -4 3 m'
_symmetry_Int_Tables_number 216
_symmetry_space_group_name_Hall 'F -4 2 3'
_cell_length_a 7.4797
_cell_length_b 7.4797
_cell_length_c 7.4797
_cell_angle_alpha 90.00
_cell_angle_beta 90.00
_cell_angle_gamma 90.00
loop_
_atom_site_label
_atom_site_fract_x
_atom_site_fract_y
_atom_site_fract_z
Li1 0.0000 0.0000 0.0000
La1 0.2500 0.2500 0.2500
Pr1 0.2500 0.2500 0.7500
Mn1 0.0000 0.0000 0.5000
```

---

Here is a geometry-optimized CeAlCdPd3 structure from Alexandria via LeMat-Bulk. Energies are from PBE.

Summary:
The calculation puts the energy relative to the elements at -424 meV per atom.

Geometry as CIF:
```
data_CeAlCdPd3
_symmetry_space_group_name_H-M 'C m c m'
_symmetry_Int_Tables_number 63
_symmetry_space_group_name_Hall '-C 2c 2'
_cell_length_a 7.0230
_cell_length_b 12.1851
_cell_length_c 5.8791
_cell_angle_alpha 90.00
_cell_angle_beta 90.00
_cell_angle_gamma 90.00
loop_
_atom_site_label
_atom_site_fract_x
_atom_site_fract_y
_atom_site_fract_z
Ce1 0.0000 0.1896 0.2500
Al1 0.0000 0.1244 0.7500
Cd1 0.0000 0.4408 0.2500
Pd1 0.0000 0.3243 0.7500
Pd2 0.1974 0.0000 0.0000
```

---

Here is a geometry-optimized BeCu2Ru structure from Alexandria via LeMat-Bulk. Energies are from PBE.

Summary:
The calculation puts the energy relative to the elements at 55 meV per atom.

Geometry as CIF:
```
data_BeCu2Ru
_symmetry_space_group_name_H-M 'P 1 m 1'
_symmetry_Int_Tables_number 6
_symmetry_space_group_name_Hall 'P -2y'
_cell_length_a 2.5619
_cell_length_b 3.7379
_cell_length_c 5.0563
_cell_angle_alpha 90.00
_cell_angle_beta 104.54
_cell_angle_gamma 90.00
loop_
_atom_site_label
_atom_site_fract_x
_atom_site_fract_y
_atom_site_fract_z
Be1 0.0000 0.0000 0.0000
Cu1 0.1405 0.5000 0.2862
Cu2 0.7556 0.0000 0.5143
Ru1 0.4105 0.5000 0.8203
```

---

Here is a geometry-optimized K2NaZr structure from Alexandria via LeMat-Bulk. Energies are from PBE.

Summary:
The calculation puts the energy relative to the elements at 1030 meV per atom. Its distance to the lowest polymorph of the same formula is 51 meV per atom.

Geometry as CIF:
```
data_K2NaZr
_symmetry_space_group_name_H-M 'I -4 2 d'
_symmetry_Int_Tables_number 122
_symmetry_space_group_name_Hall 'I -4 2bw'
_cell_length_a 9.9080
_cell_length_b 9.9080
_cell_length_c 7.2652
_cell_angle_alpha 90.00
_cell_angle_beta 90.00
_cell_angle_gamma 90.00
loop_
_atom_site_label
_atom_site_fract_x
_atom_site_fract_y
_atom_site_fract_z
K1 0.2302 0.2500 0.1250
Na1 0.0000 0.0000 0.0000
Zr1 0.0000 0.0000 0.5000
```

---

Here is a geometry-optimized HfMoCl2 structure from Alexandria via LeMat-Bulk. Energies are from PBE.

Summary:
Its distance to the lowest polymorph of the same formula is 0 meV per atom. Its formation energy (no corrections) is -227 meV/atom.

Geometry as CIF:
```
data_HfMoCl2
_symmetry_space_group_name_H-M 'R -3 m'
_symmetry_Int_Tables_number 166
_symmetry_space_group_name_Hall '-R 3 2"'
_cell_length_a 3.0735
_cell_length_b 3.0735
_cell_length_c 26.2469
_cell_angle_alpha 90.00
_cell_angle_beta 90.00
_cell_angle_gamma 120.00
loop_
_atom_site_label
_atom_site_fract_x
_atom_site_fract_y
_atom_site_fract_z
Hf1 0.0000 0.0000 0.0000
Mo1 0.0000 0.0000 0.5000
Cl1 0.0000 0.0000 0.4066
```

---

Here is a geometry-optimized YN2Cl2 structure from Alexandria via LeMat-Bulk. Energies are from PBE.

Summary:
Its distance to the lowest polymorph of the same formula is 0 meV per atom. Its formation energy (no corrections) is 643 meV/atom.

Geometry as CIF:
```
data_YN2Cl2
_symmetry_space_group_name_H-M 'P 4/m b m'
_symmetry_Int_Tables_number 127
_symmetry_space_group_name_Hall '-P 4 2ab'
_cell_length_a 6.9149
_cell_length_b 6.9149
_cell_length_c 3.6198
_cell_angle_alpha 90.00
_cell_angle_beta 90.00
_cell_angle_gamma 90.00
loop_
_atom_site_label
_atom_site_fract_x
_atom_site_fract_y
_atom_site_fract_z
Y1 0.0000 0.0000 0.0000
N1 0.2350 0.2650 0.5000
Cl1 0.1538 0.3462 0.0000
```

---

Here is a geometry-optimized MgAsCl structure from Alexandria via LeMat-Bulk. Energies are from PBE.

Summary:
Its distance to the lowest polymorph of the same formula is 555 meV per atom. Its formation energy (no corrections) is -194 meV/atom.

Geometry as CIF:
```
data_MgAsCl
_symmetry_space_group_name_H-M 'P 3 m 1'
_symmetry_Int_Tables_number 156
_symmetry_space_group_name_Hall 'P 3 -2"'
_cell_length_a 4.6006
_cell_length_b 4.6006
_cell_length_c 3.2928
_cell_angle_alpha 90.00
_cell_angle_beta 90.00
_cell_angle_gamma 120.00
loop_
_atom_site_label
_atom_site_fract_x
_atom_site_fract_y
_atom_site_fract_z
Mg1 0.0000 0.0000 0.0000
As1 0.6667 0.3333 0.4975
Cl1 0.3333 0.6667 0.9966
```